Entry 1:
The following is a DFT calculation (PBE-GGA) of a relaxed SrPr crystal.

Results
* energy relative to the lowest polymorph listed for this composition: 0.0000 eV/atom
* space-group type: P-6m2

Cell: 3.8944 3.8944 6.4780 Å, 90.00 90.00 120.00°
Fractional coordinates of all 2 atoms:
Sr  0.0000  0.0000  0.0000
Pr  0.3333  0.6667  0.5000

---

Entry 2:
The following is a DFT calculation (PBE-GGA) of a relaxed Au crystal.

Results
* energy relative to the lowest polymorph listed for this composition: 0.0033 eV/atom
* calculated formation energy: 0.3 kJ per mole of atoms
* space-group type: Cmcm

Cell: 2.9357 5.0342 4.8510 Å, 90.00 90.00 90.00°
Fractional coordinates of all 4 atoms:
Au  0.0000  0.1630  0.2500
Au  0.0000  0.8370  0.7500
Au  0.5000  0.3370  0.7500
Au  0.5000  0.6630  0.2500

---

Entry 3:
The following is a DFT calculation (PBE-GGA) of a relaxed ZnCoReHg crystal.

Results
* energy relative to the lowest polymorph listed for this composition: 0.0323 eV/atom
* calculated formation energy: 74.9 kJ per mole of atoms
* space-group type: F-43m

Cell: 6.2328 6.2328 6.2328 Å, 90.00 90.00 90.00°
Fractional coordinates of all 16 atoms:
Zn  0.0000  0.0000  0.0000
Zn  0.0000  0.5000  0.5000
Zn  0.5000  0.0000  0.5000
Zn  0.5000  0.5000  0.0000
Co  0.2500  0.2500  0.2500
Co  0.2500  0.7500  0.7500
Co  0.7500  0.2500  0.7500
Co  0.7500  0.7500  0.2500
Re  0.2500  0.2500  0.7500
Re  0.2500  0.7500  0.2500
Re  0.7500  0.2500  0.2500
Re  0.7500  0.7500  0.7500
Hg  0.0000  0.0000  0.5000
Hg  0.0000  0.5000  0.0000
Hg  0.5000  0.0000  0.0000
Hg  0.5000  0.5000  0.5000

---

Entry 4:
The following is a DFT calculation (PBE-GGA) of a relaxed AsOsPbO crystal.

Results
* energy relative to the lowest polymorph listed for this composition: 0.3454 eV/atom
* space-group type: Pmc2_1

Cell: 3.7391 7.3949 6.0414 Å, 90.00 90.00 90.00°
Fractional coordinates of all 8 atoms:
As  0.0000  0.1437  0.0000
As  0.0000  0.8563  0.5000
Os  0.0000  0.1760  0.6037
Os  0.0000  0.8240  0.1037
Pb  0.5000  0.4314  0.1879
Pb  0.5000  0.5686  0.6879
O  0.5000  0.1867  0.5830
O  0.5000  0.8133  0.0830

---

Entry 5:
The following is a DFT calculation (PBE-GGA) of a relaxed MgZrTlTe3 crystal.

Results
* energy relative to the lowest polymorph listed for this composition: 0.0381 eV/atom
* space-group type: Cmcm

Cell: 8.0093 8.0093 11.2314 Å, 90.00 90.00 149.85°
Fractional coordinates of all 12 atoms:
Mg  0.0460  0.9540  0.7500
Mg  0.9540  0.0460  0.2500
Zr  0.5000  0.5000  0.0000
Zr  0.5000  0.5000  0.5000
Tl  0.2566  0.7434  0.2500
Tl  0.7434  0.2566  0.7500
Te  0.1359  0.8641  0.5370
Te  0.1359  0.8641  0.9630
Te  0.4261  0.5739  0.7500
Te  0.5739  0.4261  0.2500
Te  0.8641  0.1359  0.0370
Te  0.8641  0.1359  0.4630

---

Entry 6:
The following is a DFT calculation (PBE-GGA) of a relaxed RbTl4Pd crystal.

Results
* space-group type: Pmma
* E: -16.4 eV/f.u.

Cell: 9.7522 4.0405 9.4146 Å, 90.00 90.00 90.00°
Fractional coordinates of all 12 atoms:
Rb  0.2500  0.0000  0.0778
Rb  0.7500  0.0000  0.9222
Tl  0.0000  0.0000  0.5000
Tl  0.0687  0.5000  0.7851
Tl  0.2500  0.5000  0.4124
Tl  0.4313  0.5000  0.7851
Tl  0.5000  0.0000  0.5000
Tl  0.5687  0.5000  0.2149
Tl  0.7500  0.5000  0.5876
Tl  0.9313  0.5000  0.2149
Pd  0.2500  0.0000  0.6550
Pd  0.7500  0.0000  0.3450

---

Entry 7:
The following is a DFT calculation (PBE-GGA) of a relaxed NbNiTe crystal.

Results
* energy relative to the lowest polymorph listed for this composition: 0.0000 eV/atom
* space-group type: F-43m

Cell: 6.0791 6.0791 6.0791 Å, 90.00 90.00 90.00°
Fractional coordinates of all 12 atoms:
Nb  0.0000  0.0000  0.0000
Nb  0.0000  0.5000  0.5000
Nb  0.5000  0.0000  0.5000
Nb  0.5000  0.5000  0.0000
Ni  0.2500  0.2500  0.2500
Ni  0.2500  0.7500  0.7500
Ni  0.7500  0.2500  0.7500
Ni  0.7500  0.7500  0.2500
Te  0.0000  0.0000  0.5000
Te  0.0000  0.5000  0.0000
Te  0.5000  0.0000  0.0000
Te  0.5000  0.5000  0.5000

---

Entry 8:
The following is a DFT calculation (PBE-GGA) of a relaxed CuHgAsW crystal.

Results
* energy relative to the lowest polymorph listed for this composition: 0.4027 eV/atom
* space-group type: F-43m

Cell: 6.6056 6.6056 6.6056 Å, 90.00 90.00 90.00°
Fractional coordinates of all 16 atoms:
Cu  0.0000  0.0000  0.0000
Cu  0.0000  0.5000  0.5000
Cu  0.5000  0.0000  0.5000
Cu  0.5000  0.5000  0.0000
Hg  0.0000  0.0000  0.5000
Hg  0.0000  0.5000  0.0000
Hg  0.5000  0.0000  0.0000
Hg  0.5000  0.5000  0.5000
As  0.2500  0.2500  0.7500
As  0.2500  0.7500  0.2500
As  0.7500  0.2500  0.2500
As  0.7500  0.7500  0.7500
W  0.2500  0.2500  0.2500
W  0.2500  0.7500  0.7500
W  0.7500  0.2500  0.7500
W  0.7500  0.7500  0.2500

---

no.,calculated volume (Å³/f.u.)
1,85.1
2,17.9
3,60.5
4,83.5
5,180.9
6,185.5
7,56.2
8,72.1